# 1
A relaxed structure of CsRbIn2Pd. Source: the Alexandria database, functional PBE.

formation energy from the elements	-10.5	kJ per mole of atoms
VASP energy	-2.607	eV/atom
DOS(E_F)	0.6126	states/eV per atom
energy relative to the lowest polymorph listed for this composition	0	kJ/mol of formula units

a = 5.360 Å, b = 5.360 Å, c = 6.443 Å
α = 90.00°, β = 90.00°, γ = 90.00°
Space group P4/mmm (No. 123)
Inequivalent atoms, fractional coordinates:
1 Cs 0.000 0.000 0.000 [1 per cell]
2 Rb 0.500 0.500 0.000 [1 per cell]
3 In 0.000 0.500 0.500 [2 per cell]
4 Pd 0.500 0.500 0.500 [1 per cell]



# 2
A relaxed structure of Cs2SrPaSe4. Source: the Alexandria database, functional PBE.

formation energy (no corrections)	-1.541	eV per atom
VASP energy	-4.894	eV/atom
DOS(E_F)	0.6448	states/eV per atom

a = 7.760 Å, b = 4.444 Å, c = 8.750 Å
α = 90.00°, β = 107.00°, γ = 90.00°
Space group P2/m (No. 10)
Inequivalent atoms, fractional coordinates:
1 Cs 0.000 0.000 0.000 [1 per cell]
2 Cs 0.500 0.500 0.000 [1 per cell]
3 Sr 0.000 0.500 0.500 [1 per cell]
4 Pa 0.500 0.000 0.500 [1 per cell]
5 Se 0.257 0.000 0.690 [2 per cell]
6 Se 0.291 0.500 0.313 [2 per cell]



# 3
A relaxed structure of CaSbPt. Source: the Alexandria database, functional PBE.

formation energy (no corrections)	-0.522	eV per atom
VASP energy	-4.577	eV/atom
DOS(E_F)	0.3869	states/eV per atom

a = 3.693 Å, b = 4.269 Å, c = 8.921 Å
α = 90.00°, β = 90.00°, γ = 90.00°
Space group Imm2 (No. 44)
Inequivalent atoms, fractional coordinates:
1 Ca 0.000 0.000 0.000 [2 per cell]
2 Sb 0.000 0.000 0.330 [2 per cell]
3 Pt 0.000 0.000 0.634 [2 per cell]



# 4
A relaxed structure of CePm2Pr6Sm. Source: the Alexandria database, functional PBE.

formation energy from the elements	21.6	kJ per mole of atoms
VASP energy	-4.659	eV/atom
DOS(E_F)	2.1494	states/eV per atom

a = 11.493 Å, b = 7.080 Å, c = 9.027 Å
α = 90.00°, β = 104.22°, γ = 90.00°
Space group C2/m (No. 12)
Inequivalent atoms, fractional coordinates:
1 Ce 0.000 0.000 0.000 [2 per cell]
2 Pm 0.089 0.500 0.162 [4 per cell]
3 Pr 0.124 0.000 0.414 [4 per cell]
4 Pr 0.176 0.263 0.798 [8 per cell]
5 Sm 0.000 0.500 0.500 [2 per cell]